[1]
# LiLaZnPt3 GGA-PBE relaxed
# Size of the total moment   0.000 μB/atom
# Formation enthalpy at 0 K   -3.9 eV per formula unit
data_LiLaZnPt3
_cell_length_a 5.797
_cell_length_b 12.907
_cell_length_c 5.854
_cell_angle_alpha 90.00
_cell_angle_beta 90.00
_cell_angle_gamma 90.00
_symmetry_space_group_name_H-M 'C m c m'
_symmetry_Int_Tables_number 63
_symmetry_space_group_name_Hall '-C 2c 2'
loop_
_atom_site_label
_atom_site_fract_x
_atom_site_fract_y
_atom_site_fract_z
Li1 0.000 0.109 0.250
La1 0.000 0.327 0.250
Zn1 0.000 0.375 0.750
Pt1 0.000 0.176 0.750
Pt2 0.245 0.000 0.000


[2]
# LiLaZn2Pt2 GGA-PBE relaxed
# Size of the total moment   0.000 μB/atom
# Formation enthalpy at 0 K   -4.7 eV per formula unit
data_LiLaZn2Pt2
_cell_length_a 4.3777
_cell_length_b 4.3777
_cell_length_c 6.8624
_cell_angle_alpha 90.00
_cell_angle_beta 90.00
_cell_angle_gamma 120.00
_symmetry_space_group_name_H-M 'P -3 m 1'
_symmetry_Int_Tables_number 164
_symmetry_space_group_name_Hall '-P 3 2"'
loop_
_atom_site_label
_atom_site_fract_x
_atom_site_fract_y
_atom_site_fract_z
Li1 0.0000 0.0000 0.0000
La1 0.0000 0.0000 0.5000
Zn1 0.3333 0.6667 0.8395
Pt1 0.3333 0.6667 0.2270